(1)
# HfUCo14

A geometry-optimized HfUCo14 structure (PBE-GGA, Alexandria via LeMat-Bulk).

a b c (Å): 5.180 5.180 7.167
angles (deg): 90.00 90.00 90.00
Space group P4/mmm (No. 123)
Symmetry-distinct sites (fractional):
Hf1 0.000 0.000 0.000 x1
U1 0.500 0.500 0.000 x1
Co1 0.000 0.000 0.500 x1
Co2 0.000 0.500 0.000 x2
Co3 0.000 0.500 0.500 x2
Co4 0.252 0.252 0.271 x8
Co5 0.500 0.500 0.500 x1

Output
The formation energy is -0.087 eV per atom. The value obtained for the total DFT energy (no corrections) is -7.63 eV/atom.

=====

(2)
# HfUCo

A geometry-optimized HfUCo structure (PBE-GGA, Alexandria via LeMat-Bulk).

a b c (Å): 3.237 12.129 23.143
angles (deg): 90.00 90.00 90.00
Space group Fddd (No. 70, origin choice 2)
Symmetry-distinct sites (fractional):
Hf1 0.125 0.260 0.125 x16
U1 0.125 0.125 0.266 x16
Co1 0.125 0.125 0.563 x16

Output
The formation energy is 0.047 eV per atom. The value obtained for the total DFT energy (no corrections) is -9.40 eV/atom.

=====

(3)
# HfU2Co9

A geometry-optimized HfU2Co9 structure (PBE-GGA, Alexandria via LeMat-Bulk).

a b c (Å): 3.747 3.747 11.143
angles (deg): 90.00 90.00 90.00
Space group P4/mmm (No. 123)
Symmetry-distinct sites (fractional):
Hf1 0.000 0.000 0.000 x1
U1 0.000 0.000 0.329 x2
Co1 0.000 0.500 0.169 x4
Co2 0.000 0.500 0.500 x2
Co3 0.500 0.500 0.000 x1
Co4 0.500 0.500 0.334 x2

Output
The formation energy is -0.278 eV per atom. The value obtained for the total DFT energy (no corrections) is -8.32 eV/atom.

=====

(4)
# Hf3VCo

A geometry-optimized Hf3VCo structure (PBE-GGA, Alexandria via LeMat-Bulk).

a b c (Å): 4.773 4.773 4.773
angles (deg): 90.00 90.00 90.00
Space group Pm-3m (No. 221)
Symmetry-distinct sites (fractional):
Hf1 0.000 0.000 0.500 x3
V1 0.000 0.000 0.000 x1
Co1 0.500 0.500 0.500 x1

Output
The formation energy is 1.053 eV per atom. The value obtained for the total DFT energy (no corrections) is -8.16 eV/atom.

=====

no.,total moment (μB/atom)
1,1.0683
2,0.5954
3,0.2992
4,0.2120